7
Lattice="5.649 0.000 0.000 0.000 5.649 0.000 -2.825 -2.825 9.006" Properties=species:S:1:pos:R:3 comment="Ac4ZnPb2 (GGA-PBE, relaxed)" n_ef_per_ev_cell=6.00 e_above_lowest_polymorph_mev_per_atom=190.1 pbc="T T T"
Pb 2.825 2.825 2.379
Pb 0.000 0.000 6.627
Ac 2.825 2.825 5.765
Ac 0.000 0.000 3.241
Ac 0.000 2.825 0.000
Ac 2.825 0.000 0.000
Zn 0.000 0.000 0.000

---

5
Lattice="-3.114 2.361 3.238 -2.688 -3.487 -0.041 2.542 -2.006 3.907" Properties=species:S:1:pos:R:3 comment="LiHf2AlSe (GGA-PBE, relaxed)" n_ef_per_ev_cell=5.31 formation_energy_uncorrected_mev_per_atom=543 pbc="T T T"
Hf 1.271 -1.003 1.954
Hf -1.557 1.181 1.619
Al 0.000 0.000 0.000
Se -1.629 -1.566 3.552
Li -1.344 -1.744 -0.021

---

7
Lattice="-2.722 -1.187 2.432 5.387 -2.720 1.675 -0.978 8.181 2.897" Properties=species:S:1:pos:R:3 comment="Ho3Er2Ir2 (GGA-PBE, relaxed)" n_ef_per_ev_cell=5.81 energy_ev_per_fu=-45.2 pbc="T T T"
Ho -1.361 -0.593 1.216
Ho -0.827 2.148 3.152
Ho 2.514 2.126 3.852
Er 1.131 -1.232 3.694
Er 0.556 5.506 3.309
Ir 0.484 3.537 5.297
Ir 1.203 0.737 1.706

---

10
Lattice="5.322 0.000 2.240 1.716 5.746 3.367 -0.360 0.309 8.300" Properties=species:S:1:pos:R:3 comment="K3ZnAg6 (GGA-PBE, relaxed)" n_ef_per_ev_cell=3.62 energy_ev_per_fu=-20.9 pbc="T T T"
K 3.715 4.573 6.058
K 2.962 1.482 7.848
K 0.000 0.000 0.000
Zn 0.678 3.028 5.833
Ag 0.945 3.947 8.866
Ag 3.033 2.109 3.904
Ag 5.732 2.109 5.040
Ag 3.644 3.947 10.002
Ag 5.724 5.553 8.729
Ag 0.954 0.502 5.177

---

4
Lattice="-3.192 -1.656 -1.068 -0.620 -1.085 3.537 -3.742 6.374 1.299" Properties=species:S:1:pos:R:3 comment="BaAcNi2 (GGA-PBE, relaxed)" n_ef_per_ev_cell=2.36 e_above_lowest_polymorph_mev_per_atom=0.0 pbc="T T T"
Ni -3.022 5.148 1.049
Ni -0.719 1.226 0.250
Ac -1.906 -1.370 1.235
Ba -3.777 1.817 1.884

---

12
Lattice="-4.597 4.104 0.361 -3.007 -3.712 3.909 2.816 2.735 4.764" Properties=species:S:1:pos:R:3 comment="Re2Ag (GGA-PBE, relaxed)" n_ef_per_ev_cell=17.68 e_above_lowest_polymorph_mev_per_atom=1636.8 pbc="T T T"
Re 0.218 0.633 6.666
Re -2.062 -1.811 5.418
Re 0.389 3.679 4.816
Re -1.891 1.235 3.568
Re -2.897 1.892 5.466
Re -5.177 -0.552 4.217
Re -2.726 4.938 3.616
Re -5.006 2.494 2.367
Ag 0.000 0.000 0.000
Ag -0.095 -0.488 4.336
Ag -0.890 3.420 2.562
Ag -3.802 0.196 2.135

---

20
Lattice="6.226 -0.539 -0.560 1.342 9.299 -0.150 1.342 -0.495 9.287" Properties=species:S:1:pos:R:3 comment="BaSnGe2S6 (GGA-PBE, relaxed)" formation_energy_uncorrected_mev_per_atom=-643 pbc="T T T"
Ba 2.898 8.080 0.755
Ba 6.011 0.185 7.823
Sn 2.898 2.373 6.254
Sn 6.011 5.892 2.323
Ge 3.324 6.980 5.645
Ge 2.472 3.152 1.673
Ge 5.585 1.285 2.932
Ge 6.437 5.113 6.905
S 3.791 8.667 7.013
S 2.006 1.848 -0.064
S 5.119 -0.402 1.564
S 6.904 6.417 8.641
S 3.981 7.369 3.624
S 1.816 5.186 1.358
S 4.929 0.896 4.953
S 7.094 3.079 7.219
S 7.246 6.153 5.010
S 4.776 3.217 1.963
S 1.663 2.112 3.567
S 4.133 5.048 6.614

---

5
Lattice="4.142 0.000 0.000 0.000 4.142 0.000 0.000 0.000 3.818" Properties=species:S:1:pos:R:3 comment="TaPtN2O (GGA-PBE, relaxed)" n_ef_per_ev_cell=5.33 formation_energy_uncorrected_mev_per_atom=187 pbc="T T T"
N 0.000 2.071 0.000
N 2.071 0.000 0.000
O 0.000 0.000 1.909
Pt 2.071 2.071 1.909
Ta 0.000 0.000 0.000